# 1
8
Lattice="3.437 -5.424 0.000 3.437 5.424 0.000 0.000 0.000 4.798" Properties=species:S:1:pos:R:3 comment="GGA-PBEsol YCd3, relaxed" spacegroup="Cmcm, No. 63" formation_energy_ev_per_atom=-0.331 pbc="T T T"
Y 3.437 3.880 3.598
Y 3.437 -3.880 1.199
Cd 1.932 0.979 3.598
Cd 3.437 1.869 1.199
Cd 1.932 -0.979 1.199
Cd 4.942 0.979 3.598
Cd 3.437 -1.869 3.598
Cd 4.942 -0.979 1.199



# 2
8
Lattice="3.712 -5.119 0.000 3.712 5.119 0.000 0.000 0.000 4.998" Properties=species:S:1:pos:R:3 comment="GGA-PBEsol Y3Cd5, relaxed" spacegroup="Cmmm, No. 65" formation_energy_ev_per_atom=-0.337 pbc="T T T"
Y 0.000 0.000 0.000
Y 3.712 2.366 2.499
Y 3.712 -2.366 2.499
Cd 1.856 2.560 0.000
Cd 1.791 0.000 2.499
Cd 1.856 -2.560 0.000
Cd 3.712 0.000 0.000
Cd 5.632 0.000 2.499



# 3
4
Lattice="5.670 0.000 0.000 0.000 5.670 0.000 0.000 0.000 5.670" Properties=species:S:1:pos:R:3 comment="GGA-PBEsol Y3Cd, relaxed" spacegroup="Pm-3m, No. 221" formation_energy_ev_per_atom=0.857 relative_energy_mev_per_atom=1032.3 pbc="T T T"
Y 0.000 0.000 2.835
Y 0.000 2.835 0.000
Y 2.835 0.000 0.000
Cd 0.000 0.000 0.000



# 4
4
Lattice="3.321 0.000 0.000 -1.660 2.876 0.000 0.000 0.000 9.788" Properties=species:S:1:pos:R:3 comment="GGA-PBEsol YCd3, relaxed" spacegroup="P-6m2, No. 187" formation_energy_ev_per_atom=-0.068 pbc="T T T"
Y 0.000 0.000 0.000
Cd 0.000 0.000 4.894
Cd 0.000 1.917 2.569
Cd 0.000 1.917 7.219



# 5
9
Lattice="-4.625 4.625 2.247 4.625 -4.625 2.247 4.625 4.625 -2.247" Properties=species:S:1:pos:R:3 comment="GGA-PBEsol YCd8, relaxed" spacegroup="I4/mmm, No. 139" formation_energy_ev_per_atom=-0.150 pbc="T T T"
Y 0.000 0.000 0.000
Cd 3.132 0.000 0.000
Cd 6.117 0.000 0.000
Cd 3.036 3.036 0.000
Cd 1.589 -1.589 2.247
Cd 0.000 3.132 0.000
Cd 0.000 6.117 0.000
Cd -1.589 1.589 2.247
Cd 1.589 1.589 2.247



# 6
46
Lattice="0.000 7.878 7.878 7.878 0.000 7.878 7.878 7.878 0.000" Properties=species:S:1:pos:R:3 comment="GGA-PBEsol YCd22, relaxed" spacegroup="Fd-3m, No. 227" formation_energy_ev_per_atom=-0.050 pbc="T T T"
Y 1.969 1.969 1.969
Y 13.786 13.786 13.786
Cd 0.000 0.000 0.000
Cd 3.939 3.939 0.000
Cd 3.939 0.000 3.939
Cd 7.878 3.939 3.939
Cd 5.014 2.964 2.964
Cd 8.852 6.802 2.964
Cd 8.852 2.964 6.802
Cd 10.741 6.903 6.903
Cd 12.791 8.953 6.903
Cd 12.791 6.903 8.953
Cd 5.908 5.908 3.685
Cd 5.908 3.685 5.908
Cd 8.131 5.908 5.908
Cd 2.964 5.014 2.964
Cd 6.802 8.852 2.964
Cd 2.964 2.964 5.014
Cd 8.852 8.852 5.014
Cd 6.802 2.964 8.852
Cd 8.852 5.014 8.852
Cd 9.847 9.847 7.624
Cd 9.847 7.624 9.847
Cd 12.070 9.847 9.847
Cd 0.000 3.939 3.939
Cd 3.939 7.878 3.939
Cd 3.939 3.939 7.878
Cd 7.878 7.878 7.878
Cd 3.685 5.908 5.908
Cd 5.908 8.131 5.908
Cd 5.908 5.908 8.131
Cd 6.903 10.741 6.903
Cd 8.953 12.791 6.903
Cd 6.903 6.903 10.741
Cd 12.791 12.791 10.741
Cd 8.953 6.903 12.791
Cd 12.791 10.741 12.791
Cd 7.624 9.847 9.847
Cd 9.847 12.070 9.847
Cd 9.847 9.847 12.070
Cd 2.964 8.852 6.802
Cd 2.964 6.802 8.852
Cd 5.014 8.852 8.852
Cd 6.903 12.791 8.953
Cd 6.903 8.953 12.791
Cd 10.741 12.791 12.791